# 1
InPdSe3: relaxed, PBE.

As for the space group: R-3 (148). The value obtained for the formation energy without anion corrections is -0.304 eV per atom. For the polymorph energy (0 for the lowest one), the calculation gives 0.000 eV/atom. For the final energy, the calculation gives -39.8 eV per cell. For the density of states at the Fermi level, the calculation gives 0.61 states/eV per atom. The value obtained for the total magnetization is 0.000 Bohr magnetons per cell.

Cell: 7.1456 7.1456 7.1456 Å, 56.52 56.52 56.52°
Element x y z (fractional)
1 In 0.1277 0.1277 0.1277
2 In 0.8723 0.8723 0.8723
3 Pd 0.3415 0.3415 0.3415
4 Pd 0.6585 0.6585 0.6585
5 Se 0.0613 0.7126 0.4706
6 Se 0.2874 0.5294 0.9387
7 Se 0.4706 0.0613 0.7126
8 Se 0.5294 0.9387 0.2874
9 Se 0.7126 0.4706 0.0613
10 Se 0.9387 0.2874 0.5294

***

# 2
InPd2Se2: relaxed, PBE.

As for the space group: P4/mbm (127). The value obtained for the formation energy without anion corrections is -0.122 eV per atom. For the polymorph energy (0 for the lowest one), the calculation gives 0.055 eV/atom. For the final energy, the calculation gives -41.4 eV per cell. For the density of states at the Fermi level, the calculation gives 0.65 states/eV per atom. The value obtained for the total magnetization is 0.000 Bohr magnetons per cell.

Cell: 7.3921 7.3921 3.5182 Å, 90.00 90.00 90.00°
Element x y z (fractional)
1 In 0.0000 0.0000 0.0000
2 In 0.5000 0.5000 0.0000
3 Pd 0.1417 0.3583 0.0000
4 Pd 0.3583 0.8583 0.0000
5 Pd 0.6417 0.1417 0.0000
6 Pd 0.8583 0.6417 0.0000
7 Se 0.1626 0.6626 0.5000
8 Se 0.3375 0.1626 0.5000
9 Se 0.6626 0.8374 0.5000
10 Se 0.8374 0.3375 0.5000

***

# 3
InPdSe2: relaxed, PBE.

As for the space group: R-3m (166). The value obtained for the formation energy without anion corrections is -0.184 eV per atom. For the final energy, the calculation gives -15.6 eV per cell. For the density of states at the Fermi level, the calculation gives 0.52 states/eV per atom. The value obtained for the total magnetization is 0.000 Bohr magnetons per cell.

Cell: 8.8746 8.8746 8.8746 Å, 24.23 24.23 24.23°
Element x y z (fractional)
1 In 0.0000 0.0000 0.0000
2 Pd 0.5000 0.5000 0.5000
3 Se 0.1144 0.1144 0.1144
4 Se 0.8856 0.8856 0.8856

***

# 4
In3PdSe: relaxed, PBE.

As for the space group: Pm-3m (221). The value obtained for the formation energy without anion corrections is 0.553 eV per atom. For the polymorph energy (0 for the lowest one), the calculation gives 0.758 eV/atom. For the final energy, the calculation gives -14.1 eV per cell. For the density of states at the Fermi level, the calculation gives 0.59 states/eV per atom. The value obtained for the total magnetization is 0.000 Bohr magnetons per cell.

Cell: 5.3984 5.3984 5.3984 Å, 90.00 90.00 90.00°
Element x y z (fractional)
1 In 0.0000 0.0000 0.5000
2 In 0.0000 0.5000 0.0000
3 In 0.5000 0.0000 0.0000
4 Pd 0.5000 0.5000 0.5000
5 Se 0.0000 0.0000 0.0000

***

# 5
InSiPdSe2: relaxed, PBE.

As for the space group: P4/mmm (123). The value obtained for the formation energy without anion corrections is 0.800 eV per atom. For the final energy, the calculation gives -16.3 eV per cell. For the density of states at the Fermi level, the calculation gives 0.73 states/eV per atom. The value obtained for the total magnetization is 0.000 Bohr magnetons per cell.

Cell: 5.2677 5.2677 4.9847 Å, 90.00 90.00 90.00°
Element x y z (fractional)
1 In 0.0000 0.0000 0.0000
2 Si 0.5000 0.5000 0.5000
3 Pd 0.0000 0.0000 0.5000
4 Se 0.0000 0.5000 0.0000
5 Se 0.5000 0.0000 0.0000

***

# 6
Ta2In2PdSe6: relaxed, PBE.

As for the space group: C2/m (12). The value obtained for the formation energy without anion corrections is -0.461 eV per atom. For the final energy, the calculation gives -60.4 eV per cell. For the density of states at the Fermi level, the calculation gives 0.59 states/eV per atom. The value obtained for the total magnetization is 0.000 Bohr magnetons per cell.

Cell: 6.5320 6.5320 7.8492 Å, 96.67 96.67 122.11°
Element x y z (fractional)
1 Ta 0.1380 0.8620 0.0000
2 Ta 0.8620 0.1380 0.0000
3 In 0.3163 0.6837 0.5000
4 In 0.6837 0.3163 0.5000
5 Pd 0.5000 0.5000 0.0000
6 Se 0.0948 0.4586 0.8115
7 Se 0.2315 0.2315 0.2253
8 Se 0.4586 0.0948 0.8115
9 Se 0.5414 0.9052 0.1885
10 Se 0.7685 0.7685 0.7747
11 Se 0.9052 0.5414 0.1885

***

# 7
U2In3PdSe6: relaxed, PBE.

As for the space group: C2/m (12). The value obtained for the formation energy without anion corrections is -0.659 eV per atom. For the final energy, the calculation gives -64.8 eV per cell. For the density of states at the Fermi level, the calculation gives 1.16 states/eV per atom. The value obtained for the total magnetization is 3.066 Bohr magnetons per cell.

Cell: 6.8541 6.8541 8.2233 Å, 97.73 97.73 120.42°
Element x y z (fractional)
1 U 0.1670 0.8330 0.0000
2 U 0.8330 0.1670 0.0000
3 In 0.0000 0.0000 0.5000
4 In 0.3365 0.6635 0.5000
5 In 0.6635 0.3365 0.5000
6 Pd 0.5000 0.5000 0.0000
7 Se 0.0878 0.4300 0.7862
8 Se 0.2350 0.2350 0.2036
9 Se 0.4300 0.0878 0.7862
10 Se 0.5700 0.9122 0.2138
11 Se 0.7650 0.7650 0.7964
12 Se 0.9122 0.5700 0.2138

***

# 8
InSi2Pd2: relaxed, PBE.

As for the space group: P4/mbm (127). The value obtained for the formation energy without anion corrections is -0.163 eV per atom. For the final energy, the calculation gives -49.6 eV per cell. For the density of states at the Fermi level, the calculation gives 0.38 states/eV per atom. The value obtained for the total magnetization is 0.000 Bohr magnetons per cell.

Cell: 7.6466 7.6466 2.8645 Å, 90.00 90.00 90.00°
Element x y z (fractional)
1 In 0.0000 0.0000 0.0000
2 In 0.5000 0.5000 0.0000
3 Si 0.1540 0.3460 0.5000
4 Si 0.3460 0.8460 0.5000
5 Si 0.6540 0.1540 0.5000
6 Si 0.8460 0.6540 0.5000
7 Pd 0.1348 0.6348 0.0000
8 Pd 0.3652 0.1348 0.0000
9 Pd 0.6348 0.8652 0.0000
10 Pd 0.8652 0.3652 0.0000

***

# 9
In5Si2Pd12: relaxed, PBE.

As for the space group: C2/m (12). The value obtained for the formation energy without anion corrections is -0.416 eV per atom. For the final energy, the calculation gives -94.8 eV per cell. For the density of states at the Fermi level, the calculation gives 0.41 states/eV per atom. The value obtained for the total magnetization is 0.000 Bohr magnetons per cell.

Cell: 8.1966 8.1966 7.1853 Å, 104.16 104.16 45.32°
Element x y z (fractional)
1 In 0.0000 0.0000 0.0000
2 In 0.2462 0.2462 0.0110
3 In 0.2496 0.2496 0.4933
4 In 0.7504 0.7504 0.5067
5 In 0.7538 0.7538 0.9890
6 Si 0.3092 0.6908 0.5000
7 Si 0.6908 0.3092 0.5000
8 Pd 0.0560 0.0560 0.3769
9 Pd 0.0956 0.5988 0.2994
10 Pd 0.1303 0.5811 0.8257
11 Pd 0.4012 0.9044 0.7006
12 Pd 0.4189 0.8697 0.1743
13 Pd 0.4827 0.4827 0.1931
14 Pd 0.5173 0.5173 0.8069
15 Pd 0.5811 0.1303 0.8257
16 Pd 0.5988 0.0956 0.2994
17 Pd 0.8697 0.4189 0.1743
18 Pd 0.9044 0.4012 0.7006
19 Pd 0.9440 0.9440 0.6231

***

# 10
InSiPd2: relaxed, PBE.

As for the space group: R-3m (166). The value obtained for the formation energy without anion corrections is -0.351 eV per atom. For the final energy, the calculation gives -20.0 eV per cell. For the density of states at the Fermi level, the calculation gives 0.48 states/eV per atom. The value obtained for the total magnetization is 0.000 Bohr magnetons per cell.

Cell: 5.0695 5.0695 5.0695 Å, 49.05 49.05 49.05°
Element x y z (fractional)
1 In 0.0000 0.0000 0.0000
2 Si 0.5000 0.5000 0.5000
3 Pd 0.2247 0.2247 0.2247
4 Pd 0.7753 0.7753 0.7753

***

# 11
InSiPd3: relaxed, PBE.

As for the space group: Pm-3m (221). The value obtained for the formation energy without anion corrections is 0.866 eV per atom. For the polymorph energy (0 for the lowest one), the calculation gives 1.284 eV/atom. For the final energy, the calculation gives -19.4 eV per cell. For the density of states at the Fermi level, the calculation gives 0.41 states/eV per atom. The value obtained for the total magnetization is 0.000 Bohr magnetons per cell.

Cell: 4.9145 4.9145 4.9145 Å, 90.00 90.00 90.00°
Element x y z (fractional)
1 In 0.0000 0.0000 0.0000
2 Si 0.5000 0.5000 0.5000
3 Pd 0.0000 0.0000 0.5000
4 Pd 0.0000 0.5000 0.0000
5 Pd 0.5000 0.0000 0.0000

***

# 12
InSiPd2: relaxed, PBE.

As for the space group: R3m (160). The value obtained for the formation energy without anion corrections is -0.415 eV per atom. For the final energy, the calculation gives -20.2 eV per cell. For the density of states at the Fermi level, the calculation gives 0.54 states/eV per atom. The value obtained for the total magnetization is 0.000 Bohr magnetons per cell.

Cell: 5.5040 5.5040 5.5040 Å, 43.21 43.21 43.21°
Element x y z (fractional)
1 In 0.0000 0.0000 0.0000
2 Si 0.8180 0.8180 0.8180
3 Pd 0.2185 0.2185 0.2185
4 Pd 0.4351 0.4351 0.4351

***

# 13
InSi2Pd2: relaxed, PBE.

As for the space group: P4/mbm (127). The value obtained for the formation energy without anion corrections is -0.158 eV per atom. For the final energy, the calculation gives -49.5 eV per cell. For the density of states at the Fermi level, the calculation gives 0.21 states/eV per atom. The value obtained for the total magnetization is 0.000 Bohr magnetons per cell.

Cell: 7.7764 7.7764 2.7662 Å, 90.00 90.00 90.00°
Element x y z (fractional)
1 In 0.0000 0.0000 0.0000
2 In 0.5000 0.5000 0.0000
3 Si 0.1215 0.3785 0.0000
4 Si 0.3785 0.8785 0.0000
5 Si 0.6215 0.1215 0.0000
6 Si 0.8785 0.6215 0.0000
7 Pd 0.1687 0.6687 0.5000
8 Pd 0.3313 0.1687 0.5000
9 Pd 0.6687 0.8313 0.5000
10 Pd 0.8313 0.3313 0.5000

***

# 14
InSi2Pd8: relaxed, PBE.

As for the space group: Immm (71). The value obtained for the formation energy without anion corrections is -0.510 eV per atom. For the polymorph energy (0 for the lowest one), the calculation gives 0.027 eV/atom. For the final energy, the calculation gives -60.7 eV per cell. For the density of states at the Fermi level, the calculation gives 0.32 states/eV per atom. The value obtained for the total magnetization is 0.000 Bohr magnetons per cell.

Cell: 7.3946 7.3946 7.3946 Å, 149.32 123.10 66.04°
Element x y z (fractional)
1 In 0.0000 0.0000 0.0000
2 Si 0.3217 0.3217 0.0000
3 Si 0.6783 0.6783 0.0000
4 Pd 0.1205 0.8336 0.2869
5 Pd 0.1509 0.6509 0.5000
6 Pd 0.3069 0.5000 0.8069
7 Pd 0.4533 0.1664 0.2869
8 Pd 0.5467 0.8336 0.7131
9 Pd 0.6931 0.5000 0.1931
10 Pd 0.8491 0.3491 0.5000
11 Pd 0.8795 0.1664 0.7131

***

# 15
In3SiPd: relaxed, PBE.

As for the space group: Pm-3m (221). The value obtained for the formation energy without anion corrections is 0.561 eV per atom. For the polymorph energy (0 for the lowest one), the calculation gives 0.240 eV/atom. For the final energy, the calculation gives -16.0 eV per cell. For the density of states at the Fermi level, the calculation gives 0.48 states/eV per atom. The value obtained for the total magnetization is 0.000 Bohr magnetons per cell.

Cell: 5.1287 5.1287 5.1287 Å, 90.00 90.00 90.00°
Element x y z (fractional)
1 In 0.0000 0.0000 0.5000
2 In 0.0000 0.5000 0.0000
3 In 0.5000 0.0000 0.0000
4 Si 0.0000 0.0000 0.0000
5 Pd 0.5000 0.5000 0.5000

***

# 16
InSiPd4: relaxed, PBE.

As for the space group: C2/m (12). The value obtained for the formation energy without anion corrections is -0.469 eV per atom. For the polymorph energy (0 for the lowest one), the calculation gives 0.119 eV/atom. For the final energy, the calculation gives -63.5 eV per cell. For the density of states at the Fermi level, the calculation gives 0.25 states/eV per atom. The value obtained for the total magnetization is 0.000 Bohr magnetons per cell.

Cell: 6.8478 6.8478 5.6003 Å, 108.63 108.63 59.56°
Element x y z (fractional)
1 In 0.1033 0.1033 0.3340
2 In 0.8967 0.8967 0.6660
3 Si 0.3566 0.3566 0.1282
4 Si 0.6434 0.6434 0.8718
5 Pd 0.0239 0.4715 0.7547
6 Pd 0.2990 0.7010 0.0000
7 Pd 0.3016 0.6984 0.5000
8 Pd 0.4715 0.0239 0.7547
9 Pd 0.5285 0.9761 0.2453
10 Pd 0.6984 0.3016 0.5000
11 Pd 0.7010 0.2990 0.0000
12 Pd 0.9761 0.5285 0.2453

***

# 17
InSiPd2: relaxed, PBE.

As for the space group: P4/mmm (123). The value obtained for the formation energy without anion corrections is -0.414 eV per atom. For the final energy, the calculation gives -20.2 eV per cell. For the density of states at the Fermi level, the calculation gives 0.33 states/eV per atom. The value obtained for the total magnetization is 0.000 Bohr magnetons per cell.

Cell: 3.0792 3.0792 6.8362 Å, 90.00 90.00 90.00°
Element x y z (fractional)
1 In 0.0000 0.0000 0.0000
2 Si 0.0000 0.0000 0.5000
3 Pd 0.5000 0.5000 0.2929
4 Pd 0.5000 0.5000 0.7071

***

# 18
InSi2Pd7: relaxed, PBE.

As for the space group: I4/mmm (139). The value obtained for the formation energy without anion corrections is -0.606 eV per atom. For the polymorph energy (0 for the lowest one), the calculation gives 0.000 eV/atom. For the final energy, the calculation gives -56.0 eV per cell. For the density of states at the Fermi level, the calculation gives 0.27 states/eV per atom. The value obtained for the total magnetization is 0.000 Bohr magnetons per cell.

Cell: 10.2965 10.2965 10.2965 Å, 157.50 157.50 32.03°
Element x y z (fractional)
1 In 0.0000 0.0000 0.0000
2 Si 0.3253 0.3253 0.0000
3 Si 0.6747 0.6747 0.0000
4 Pd 0.1056 0.6056 0.5000
5 Pd 0.2500 0.7500 0.5000
6 Pd 0.3944 0.8944 0.5000
7 Pd 0.5000 0.5000 0.0000
8 Pd 0.6056 0.1056 0.5000
9 Pd 0.7500 0.2500 0.5000
10 Pd 0.8944 0.3944 0.5000

***

# 19
InSi2Pd7: relaxed, PBE.

As for the space group: Cmmm (65). The value obtained for the formation energy without anion corrections is -0.276 eV per atom. For the polymorph energy (0 for the lowest one), the calculation gives 0.330 eV/atom. For the final energy, the calculation gives -52.7 eV per cell. For the density of states at the Fermi level, the calculation gives 0.54 states/eV per atom. The value obtained for the total magnetization is 0.000 Bohr magnetons per cell.

Cell: 6.8715 6.8715 4.4142 Å, 90.00 90.00 115.64°
Element x y z (fractional)
1 In 0.0000 0.0000 0.0000
2 Si 0.3008 0.6992 0.5000
3 Si 0.6992 0.3008 0.5000
4 Pd 0.0640 0.3182 0.5000
5 Pd 0.2359 0.7641 0.0000
6 Pd 0.3182 0.0640 0.5000
7 Pd 0.5000 0.5000 0.5000
8 Pd 0.6818 0.9360 0.5000
9 Pd 0.7641 0.2359 0.0000
10 Pd 0.9360 0.6818 0.5000

***

# 20
InSiPd3: relaxed, PBE.

As for the space group: Pm-3m (221). The value obtained for the formation energy without anion corrections is -0.192 eV per atom. For the polymorph energy (0 for the lowest one), the calculation gives 0.226 eV/atom. For the final energy, the calculation gives -24.7 eV per cell. For the density of states at the Fermi level, the calculation gives 0.44 states/eV per atom. The value obtained for the total magnetization is 0.000 Bohr magnetons per cell.

Cell: 4.5404 4.5404 4.5404 Å, 90.00 90.00 90.00°
Element x y z (fractional)
1 In 0.0000 0.0000 0.0000
2 Si 0.5000 0.5000 0.5000
3 Pd 0.0000 0.5000 0.5000
4 Pd 0.5000 0.0000 0.5000
5 Pd 0.5000 0.5000 0.0000